(1)
This record from the Alexandria database describes a geometry-optimized Ho2TmHg3 structure. The functional is PBE-GGA.

Lattice parameters (Å, degrees): 3.703 3.703 11.050 90.00 90.00 90.00
Atoms (fractional coordinates):
Ho: 0.000 0.000 0.168
Ho: 0.000 0.000 0.832
Tm: 0.000 0.000 0.500
Hg: 0.500 0.500 0.000
Hg: 0.500 0.500 0.336
Hg: 0.500 0.500 0.664

Space-group type: No. 123
Polymorph energy (0 for the lowest one), meV per atom: 0
Formation energy, kJ per mole of atoms: -46
Calculated total energy, eV/atom: -2.902



(2)
This record from the Alexandria database describes a geometry-optimized NaTaIn2 structure. The functional is PBE-GGA.

Lattice parameters (Å, degrees): 10.289 10.289 10.289 154.11 154.11 36.93
Atoms (fractional coordinates):
Na: 0.000 0.000 0.000
Na: 0.750 0.250 0.500
Ta: 0.250 0.750 0.500
Ta: 0.500 0.500 0.000
In: 0.159 0.625 0.034
In: 0.375 0.409 0.534
In: 0.591 0.125 0.966
In: 0.875 0.841 0.466

Space-group type: No. 122
Polymorph energy (0 for the lowest one), meV per atom: 396
Formation energy, kJ per mole of atoms: 83
Calculated total energy, eV/atom: -3.802



(3)
This record from the Alexandria database describes a geometry-optimized BC5 structure. The functional is PBE-GGA.

Lattice parameters (Å, degrees): 2.550 2.550 12.814 90.00 90.00 120.00
Atoms (fractional coordinates):
B: 0.000 0.000 0.000
B: 0.333 0.667 0.661
C: 0.000 0.000 0.373
C: 0.000 0.000 0.496
C: 0.000 0.000 0.874
C: 0.333 0.667 0.054
C: 0.333 0.667 0.172
C: 0.333 0.667 0.534
C: 0.667 0.333 0.213
C: 0.667 0.333 0.334
C: 0.667 0.333 0.715
C: 0.667 0.333 0.833

Space-group type: No. 156
Polymorph energy (0 for the lowest one), meV per atom: 40
Formation energy, kJ per mole of atoms: 24
Calculated total energy, eV/atom: -8.551



(4)
This record from the Alexandria database describes a geometry-optimized K2PuBiO6 structure. The functional is PBE-GGA.

Lattice parameters (Å, degrees): 6.163 6.163 6.163 60.00 60.00 60.00
Atoms (fractional coordinates):
K: 0.250 0.250 0.250
K: 0.750 0.750 0.750
Pu: 0.000 0.000 0.000
Bi: 0.500 0.500 0.500
O: 0.232 0.232 0.768
O: 0.232 0.768 0.232
O: 0.232 0.768 0.768
O: 0.768 0.232 0.232
O: 0.768 0.232 0.768
O: 0.768 0.768 0.232

Space-group type: No. 225
Calculated total energy, eV/atom: -6.991
Formation energy without anion corrections, eV per atom: -1.975



(5)
This record from the Alexandria database describes a geometry-optimized KTa2Br structure. The functional is PBE-GGA.

Lattice parameters (Å, degrees): 11.133 11.133 11.133 15.86 15.86 15.86
Atoms (fractional coordinates):
K: 0.000 0.000 0.000
Ta: 0.234 0.234 0.234
Ta: 0.766 0.766 0.766
Br: 0.500 0.500 0.500

Space-group type: No. 166
Polymorph energy (0 for the lowest one), meV per atom: 709
Calculated total energy, eV/atom: -5.706
Formation energy without anion corrections, eV per atom: 0.913



(6)
This record from the Alexandria database describes a geometry-optimized NdSm2Bi structure. The functional is PBE-GGA.

Lattice parameters (Å, degrees): 4.976 4.976 4.951 90.00 90.00 90.00
Atoms (fractional coordinates):
Nd: 0.000 0.000 0.000
Sm: 0.000 0.500 0.500
Sm: 0.500 0.000 0.500
Bi: 0.500 0.500 0.000

Space-group type: No. 123
Polymorph energy (0 for the lowest one), meV per atom: 40
Formation energy, kJ per mole of atoms: -40
Calculated total energy, eV/atom: -4.937



(7)
This record from the Alexandria database describes a geometry-optimized SrC3 structure. The functional is PBE-GGA.

Lattice parameters (Å, degrees): 5.268 5.268 6.270 90.00 90.00 120.00
Atoms (fractional coordinates):
Sr: 0.333 0.667 0.250
Sr: 0.667 0.333 0.750
C: 0.090 0.180 0.750
C: 0.090 0.910 0.750
C: 0.180 0.090 0.250
C: 0.820 0.910 0.750
C: 0.910 0.090 0.250
C: 0.910 0.820 0.250

Space-group type: No. 194
Polymorph energy (0 for the lowest one), meV per atom: 325
Formation energy, kJ per mole of atoms: 88
Calculated total energy, eV/atom: -6.425



(8)
This record from the Alexandria database describes a geometry-optimized LiY2Zn2Pd5 structure. The functional is PBE-GGA.

Lattice parameters (Å, degrees): 9.690 9.690 3.763 90.00 90.00 90.00
Atoms (fractional coordinates):
Li: 0.000 0.000 0.000
Li: 0.500 0.500 0.000
Y: 0.176 0.324 0.000
Y: 0.324 0.824 0.000
Y: 0.676 0.176 0.000
Y: 0.824 0.676 0.000
Zn: 0.122 0.622 0.000
Zn: 0.378 0.122 0.000
Zn: 0.622 0.878 0.000
Zn: 0.878 0.378 0.000
Pd: 0.000 0.500 0.500
Pd: 0.068 0.798 0.500
Pd: 0.202 0.068 0.500
Pd: 0.298 0.568 0.500
Pd: 0.432 0.298 0.500
Pd: 0.500 0.000 0.500
Pd: 0.568 0.702 0.500
Pd: 0.702 0.432 0.500
Pd: 0.798 0.932 0.500
Pd: 0.932 0.202 0.500

Space-group type: No. 127
Formation energy, kJ per mole of atoms: -61
Calculated total energy, eV/atom: -4.970



(9)
This record from the Alexandria database describes a geometry-optimized Tm2ThOs2 structure. The functional is PBE-GGA.

Lattice parameters (Å, degrees): 4.752 4.752 6.040 90.00 90.00 120.00
Atoms (fractional coordinates):
Tm: 0.333 0.667 0.150
Tm: 0.667 0.333 0.850
Th: 0.000 0.000 0.500
Os: 0.333 0.667 0.659
Os: 0.667 0.333 0.341

Space-group type: No. 164
Polymorph energy (0 for the lowest one), meV per atom: 0
Formation energy, kJ per mole of atoms: -29
Calculated total energy, eV/atom: -8.061



(10)
This record from the Alexandria database describes a geometry-optimized GaPNO2 structure. The functional is PBE-GGA.

Lattice parameters (Å, degrees): 3.520 3.520 7.182 90.00 90.00 90.00
Atoms (fractional coordinates):
Ga: 0.000 0.000 0.000
P: 0.000 0.000 0.500
N: 0.500 0.500 0.500
O: 0.000 0.500 0.000
O: 0.500 0.000 0.000

Space-group type: No. 123
Calculated total energy, eV/atom: -4.629
Formation energy without anion corrections, eV per atom: 0.706



(11)
This record from the Alexandria database describes a geometry-optimized Pm3Sm2Er6 structure. The functional is PBE-GGA.

Lattice parameters (Å, degrees): 16.894 16.894 16.894 163.86 163.86 22.91
Atoms (fractional coordinates):
Pm: 0.000 0.000 0.000
Pm: 0.204 0.204 0.000
Pm: 0.796 0.796 0.000
Sm: 0.454 0.454 0.000
Sm: 0.546 0.546 0.000
Er: 0.121 0.621 0.500
Er: 0.307 0.307 0.000
Er: 0.379 0.879 0.500
Er: 0.621 0.121 0.500
Er: 0.693 0.693 0.000
Er: 0.879 0.379 0.500

Space-group type: No. 139
Polymorph energy (0 for the lowest one), meV per atom: 74
Formation energy, kJ per mole of atoms: 26
Calculated total energy, eV/atom: -4.376



(12)
This record from the Alexandria database describes a geometry-optimized Be5Tl3 structure. The functional is PBE-GGA.

Lattice parameters (Å, degrees): 8.244 8.244 6.161 93.65 93.65 137.60
Atoms (fractional coordinates):
Be: 0.000 0.000 0.000
Be: 0.172 0.312 0.788
Be: 0.301 0.441 0.125
Be: 0.312 0.172 0.788
Be: 0.389 0.693 0.936
Be: 0.441 0.301 0.125
Be: 0.569 0.569 0.925
Be: 0.680 0.821 0.196
Be: 0.693 0.389 0.936
Be: 0.821 0.680 0.196
Tl: 0.173 0.173 0.413
Tl: 0.180 0.811 0.983
Tl: 0.271 0.666 0.473
Tl: 0.666 0.271 0.473
Tl: 0.738 0.738 0.592
Tl: 0.811 0.180 0.983

Space-group type: No. 8
Polymorph energy (0 for the lowest one), meV per atom: 29
Formation energy, kJ per mole of atoms: 47
Calculated total energy, eV/atom: -2.732



(13)
This record from the Alexandria database describes a geometry-optimized HgBi3Te4 structure. The functional is PBE-GGA.

Lattice parameters (Å, degrees): 10.061 9.075 6.340 90.00 90.00 90.00
Atoms (fractional coordinates):
Hg: 0.000 0.058 0.000
Hg: 0.500 0.942 0.500
Bi: 0.000 0.701 0.502
Bi: 0.169 0.352 0.502
Bi: 0.331 0.648 0.002
Bi: 0.500 0.299 0.002
Bi: 0.669 0.648 0.002
Bi: 0.831 0.352 0.502
Te: 0.000 0.065 0.501
Te: 0.000 0.741 0.002
Te: 0.189 0.331 0.002
Te: 0.311 0.669 0.502
Te: 0.500 0.259 0.502
Te: 0.500 0.935 0.001
Te: 0.689 0.669 0.502
Te: 0.811 0.331 0.002

Space-group type: No. 31
Calculated total energy, eV/atom: -3.133
Formation energy without anion corrections, eV per atom: -0.069



(14)
This record from the Alexandria database describes a geometry-optimized BeTlMo2 structure. The functional is PBE-GGA.

Lattice parameters (Å, degrees): 3.818 3.818 4.400 90.00 90.00 90.00
Atoms (fractional coordinates):
Be: 0.000 0.000 0.000
Tl: 0.500 0.500 0.000
Mo: 0.000 0.500 0.500
Mo: 0.500 0.000 0.500

Space-group type: No. 123
Polymorph energy (0 for the lowest one), meV per atom: 267
Formation energy, kJ per mole of atoms: 61
Calculated total energy, eV/atom: -6.309



(15)
This record from the Alexandria database describes a geometry-optimized Sc2NbV structure. The functional is PBE-GGA.

Lattice parameters (Å, degrees): 10.565 10.565 10.565 16.06 16.06 16.06
Atoms (fractional coordinates):
Sc: 0.093 0.093 0.093
Sc: 0.907 0.907 0.907
Nb: 0.000 0.000 0.000
V: 0.500 0.500 0.500

Space-group type: No. 166
Polymorph energy (0 for the lowest one), meV per atom: 175
Formation energy, kJ per mole of atoms: 45
Calculated total energy, eV/atom: -7.497



(16)
This record from the Alexandria database describes a geometry-optimized TcIr2C4 structure. The functional is PBE-GGA.

Lattice parameters (Å, degrees): 5.999 5.999 5.999 140.32 140.32 57.37
Atoms (fractional coordinates):
Tc: 0.000 0.000 0.000
Ir: 0.376 0.376 0.000
Ir: 0.624 0.624 0.000
C: 0.000 0.500 0.500
C: 0.203 0.203 0.000
C: 0.500 0.000 0.500
C: 0.797 0.797 0.000

Space-group type: No. 139
Formation energy, kJ per mole of atoms: 178
Calculated total energy, eV/atom: -7.440



(17)
This record from the Alexandria database describes a geometry-optimized TbThCdIn structure. The functional is PBE-GGA.

Lattice parameters (Å, degrees): 5.399 5.399 5.399 60.00 60.00 60.00
Atoms (fractional coordinates):
Tb: 0.000 0.000 0.000
Th: 0.500 0.500 0.500
Cd: 0.250 0.250 0.250
In: 0.750 0.750 0.750

Space-group type: No. 216
Formation energy, kJ per mole of atoms: -26
Calculated total energy, eV/atom: -4.200



(18)
This record from the Alexandria database describes a geometry-optimized Tm5ScIn6 structure. The functional is PBE-GGA.

Lattice parameters (Å, degrees): 9.058 9.058 5.228 106.73 106.73 120.35
Atoms (fractional coordinates):
Tm: 0.000 0.000 0.000
Tm: 0.165 0.835 0.500
Tm: 0.330 0.670 0.000
Tm: 0.670 0.330 0.000
Tm: 0.835 0.165 0.500
Sc: 0.500 0.500 0.500
In: 0.091 0.419 0.255
In: 0.261 0.261 0.760
In: 0.419 0.091 0.255
In: 0.581 0.909 0.745
In: 0.739 0.739 0.240
In: 0.909 0.581 0.745

Space-group type: No. 12
Formation energy, kJ per mole of atoms: -40
Calculated total energy, eV/atom: -4.178



(19)
This record from the Alexandria database describes a geometry-optimized LaDyRu structure. The functional is PBE-GGA.

Lattice parameters (Å, degrees): 5.599 5.599 5.449 93.60 93.60 96.88
Atoms (fractional coordinates):
La: 0.228 0.228 0.455
La: 0.772 0.772 0.545
Dy: 0.287 0.713 0.000
Dy: 0.713 0.287 0.000
Ru: 0.189 0.189 0.923
Ru: 0.811 0.811 0.077

Space-group type: No. 12
Polymorph energy (0 for the lowest one), meV per atom: 5
Formation energy, kJ per mole of atoms: -25
Calculated total energy, eV/atom: -6.524